Material: Tc2IrBr
Method: DFT, PBE
State: optimized geometry

a = 2.800 Å, b = 2.800 Å, c = 9.821 Å
α = 90.00°, β = 90.00°, γ = 118.45°
Atoms (fractional coordinates):
Tc (0.000, 0.000, 0.000)
Tc (0.500, 0.500, 0.217)
Ir (0.500, 0.500, 0.775)
Br (0.000, 0.000, 0.466)

## Properties
Crystal system: orthorhombic
Formation energy without anion corrections (eV/atom): 0.7346
Fermi-level density of states (states/eV/atom): 1.23
ΔE to the lowest computed polymorph (eV/atom): 0.251